Record 1
## Li6In12Hg (PBE)

Data for a relaxed Li6In12Hg crystal.

Results
- D(E_F) (states/eV/cell) = 8.2
- ΔE_f (eV per atom) = -0.150
- crystal system = trigonal
- distance to the lowest polymorph of the same formula (meV per atom) = 0

Structure (CIF):
```
data_Li6In12Hg
_chemical_formula_sum 'Li6 In12 Hg1'
_cell_length_a 7.583
_cell_length_b 7.583
_cell_length_c 7.583
_cell_angle_alpha 88.97
_cell_angle_beta 88.97
_cell_angle_gamma 88.97
_space_group_name_H-M_alt 'P 1'
_space_group_IT_number 1
loop_
_space_group_symop_operation_xyz
'x,y,z'
loop_
_atom_site_label
_atom_site_type_symbol
_atom_site_fract_x
_atom_site_fract_y
_atom_site_fract_z
In1 In 0.538 0.435 0.796
In2 In 0.435 0.796 0.538
In3 In 0.023 0.157 0.374
In4 In 0.374 0.023 0.157
In5 In 0.157 0.374 0.023
In6 In 0.843 0.626 0.977
In7 In 0.462 0.565 0.204
In8 In 0.204 0.462 0.565
In9 In 0.565 0.204 0.462
In10 In 0.977 0.843 0.626
In11 In 0.626 0.977 0.843
In12 In 0.796 0.538 0.435
Li1 Li 0.737 0.890 0.269
Li2 Li 0.263 0.110 0.731
Li3 Li 0.890 0.269 0.737
Li4 Li 0.731 0.263 0.110
Li5 Li 0.110 0.731 0.263
Li6 Li 0.269 0.737 0.890
Hg1 Hg 0.000 0.000 0.000
```

=====

Record 2
## Th3Tc2Bi (PBE)

Data for a relaxed Th3Tc2Bi crystal.

Results
- D(E_F) (states/eV/cell) = 10.5
- ΔE_f (eV per atom) = -0.204
- crystal system = orthorhombic

Structure (CIF):
```
data_Th3Tc2Bi
_chemical_formula_sum 'Th6 Tc4 Bi2'
_cell_length_a 4.296
_cell_length_b 8.214
_cell_length_c 9.089
_cell_angle_alpha 90.00
_cell_angle_beta 90.00
_cell_angle_gamma 90.00
_space_group_name_H-M_alt 'P 1'
_space_group_IT_number 1
loop_
_space_group_symop_operation_xyz
'x,y,z'
loop_
_atom_site_label
_atom_site_type_symbol
_atom_site_fract_x
_atom_site_fract_y
_atom_site_fract_z
Th1 Th 0.500 0.712 0.257
Th2 Th 0.000 0.851 0.556
Th3 Th 0.500 0.212 0.743
Th4 Th 0.500 0.150 0.155
Th5 Th 0.500 0.650 0.845
Th6 Th 0.000 0.351 0.444
Tc1 Tc 0.000 0.952 0.264
Tc2 Tc 0.000 0.452 0.736
Tc3 Tc 0.500 0.092 0.445
Tc4 Tc 0.500 0.592 0.555
Bi1 Bi 0.000 0.944 0.938
Bi2 Bi 0.000 0.444 0.062
```

=====

Record 3
## Eu3H12Pt5 (PBE)

Data for a relaxed Eu3H12Pt5 crystal.

Results
- D(E_F) (states/eV/cell) = 125.8
- crystal system = cubic
- DFT total energy (eV for the cell shown) = -430.1

Structure (CIF):
```
data_Eu3H12Pt5
_chemical_formula_sum 'Eu12 H48 Pt20'
_cell_length_a 10.534
_cell_length_b 10.534
_cell_length_c 10.534
_cell_angle_alpha 109.47
_cell_angle_beta 109.47
_cell_angle_gamma 109.47
_space_group_name_H-M_alt 'P 1'
_space_group_IT_number 1
loop_
_space_group_symop_operation_xyz
'x,y,z'
loop_
_atom_site_label
_atom_site_type_symbol
_atom_site_fract_x
_atom_site_fract_y
_atom_site_fract_z
H1 H 0.001 0.595 0.177
H2 H 0.499 0.323 0.905
H3 H 0.595 0.594 0.418
H4 H 0.406 0.405 0.082
H5 H 0.906 0.324 0.501
H6 H 0.406 0.001 0.824
H7 H 0.824 0.323 0.918
H8 H 0.418 0.094 0.595
H9 H 0.082 0.905 0.406
H10 H 0.906 0.582 0.905
H11 H 0.676 0.094 0.999
H12 H 0.582 0.906 0.405
H13 H 0.405 0.999 0.323
H14 H 0.001 0.406 0.324
H15 H 0.501 0.824 0.906
H16 H 0.082 0.177 0.176
H17 H 0.094 0.676 0.499
H18 H 0.501 0.677 0.095
H19 H 0.677 0.501 0.595
H20 H 0.177 0.082 0.676
H21 H 0.323 0.499 0.405
H22 H 0.594 0.595 0.918
H23 H 0.677 0.176 0.582
H24 H 0.824 0.501 0.406
H25 H 0.999 0.405 0.823
H26 H 0.999 0.594 0.676
H27 H 0.918 0.823 0.824
H28 H 0.582 0.676 0.677
H29 H 0.418 0.324 0.323
H30 H 0.499 0.176 0.094
H31 H 0.405 0.406 0.582
H32 H 0.823 0.918 0.324
H33 H 0.905 0.823 0.499
H34 H 0.324 0.418 0.823
H35 H 0.595 0.001 0.677
H36 H 0.823 0.905 0.999
H37 H 0.177 0.095 0.001
H38 H 0.594 0.999 0.176
H39 H 0.095 0.918 0.094
H40 H 0.094 0.418 0.095
H41 H 0.176 0.499 0.594
H42 H 0.905 0.082 0.906
H43 H 0.095 0.177 0.501
H44 H 0.323 0.824 0.418
H45 H 0.176 0.677 0.082
H46 H 0.918 0.095 0.594
H47 H 0.676 0.582 0.177
H48 H 0.324 0.906 0.001
Eu1 Eu 0.625 0.250 0.375
Eu2 Eu 0.250 0.125 0.375
Eu3 Eu 0.125 0.875 0.750
Eu4 Eu 0.875 0.125 0.250
Eu5 Eu 0.625 0.375 0.750
Eu6 Eu 0.375 0.750 0.625
Eu7 Eu 0.750 0.375 0.125
Eu8 Eu 0.125 0.250 0.875
Eu9 Eu 0.875 0.750 0.125
Eu10 Eu 0.250 0.625 0.875
Eu11 Eu 0.375 0.625 0.250
Eu12 Eu 0.750 0.875 0.625
Pt1 Pt 0.500 0.500 0.000
Pt2 Pt 0.500 0.000 0.500
Pt3 Pt 0.125 0.750 0.375
Pt4 Pt 0.250 0.375 0.625
Pt5 Pt 0.375 0.125 0.750
Pt6 Pt 0.500 0.000 0.000
Pt7 Pt 0.500 0.500 0.500
Pt8 Pt 0.875 0.250 0.625
Pt9 Pt 0.750 0.125 0.875
Pt10 Pt 0.750 0.625 0.375
Pt11 Pt 0.000 0.000 0.000
Pt12 Pt 0.000 0.500 0.000
Pt13 Pt 0.250 0.875 0.125
Pt14 Pt 0.625 0.875 0.250
Pt15 Pt 0.000 0.500 0.500
Pt16 Pt 0.625 0.750 0.875
Pt17 Pt 0.125 0.375 0.250
Pt18 Pt 0.375 0.250 0.125
Pt19 Pt 0.000 0.000 0.500
Pt20 Pt 0.875 0.625 0.750
```

=====

Record 4
## NdSmAgBr (PBE)

Data for a relaxed NdSmAgBr crystal.

Results
- D(E_F) (states/eV/cell) = 5.5
- energy relative to the elements, uncorrected (eV per atom) = -0.476
- crystal system = cubic

Structure (CIF):
```
data_NdSmAgBr
_chemical_formula_sum 'Nd1 Sm1 Ag1 Br1'
_cell_length_a 5.306
_cell_length_b 5.306
_cell_length_c 5.306
_cell_angle_alpha 60.00
_cell_angle_beta 60.00
_cell_angle_gamma 60.00
_space_group_name_H-M_alt 'P 1'
_space_group_IT_number 1
loop_
_space_group_symop_operation_xyz
'x,y,z'
loop_
_atom_site_label
_atom_site_type_symbol
_atom_site_fract_x
_atom_site_fract_y
_atom_site_fract_z
Nd1 Nd 0.750 0.750 0.750
Ag1 Ag 0.000 0.000 0.000
Br1 Br 0.500 0.500 0.500
Sm1 Sm 0.250 0.250 0.250
```

=====

Record 5
## Sr2PrPaAs4 (PBE)

Data for a relaxed Sr2PrPaAs4 crystal.

Results
- ΔE_f (eV per atom) = -1.263
- crystal system = monoclinic

Structure (CIF):
```
data_Sr2PrPaAs4
_chemical_formula_sum 'Sr2 Pr1 Pa1 As4'
_cell_length_a 4.334
_cell_length_b 7.467
_cell_length_c 7.573
_cell_angle_alpha 109.09
_cell_angle_beta 90.00
_cell_angle_gamma 90.00
_space_group_name_H-M_alt 'P 1'
_space_group_IT_number 1
loop_
_space_group_symop_operation_xyz
'x,y,z'
loop_
_atom_site_label
_atom_site_type_symbol
_atom_site_fract_x
_atom_site_fract_y
_atom_site_fract_z
As1 As 0.000 0.274 0.782
As2 As 0.000 0.726 0.218
As3 As 0.500 0.741 0.776
As4 As 0.500 0.259 0.224
Pr1 Pr 0.000 0.000 0.000
Pa1 Pa 0.500 0.500 0.000
Sr1 Sr 0.000 0.500 0.500
Sr2 Sr 0.500 0.000 0.500
```

=====

Record 6
## Nd2Ho5Tm6 (PBE)

Data for a relaxed Nd2Ho5Tm6 crystal.

Results
- D(E_F) (states/eV/cell) = 34.5
- ΔE_f (eV per atom) = 0.103
- crystal system = orthorhombic

Structure (CIF):
```
data_Nd2Ho5Tm6
_chemical_formula_sum 'Nd4 Ho10 Tm12'
_cell_length_a 3.549
_cell_length_b 11.601
_cell_length_c 20.051
_cell_angle_alpha 90.00
_cell_angle_beta 90.00
_cell_angle_gamma 90.00
_space_group_name_H-M_alt 'P 1'
_space_group_IT_number 1
loop_
_space_group_symop_operation_xyz
'x,y,z'
loop_
_atom_site_label
_atom_site_type_symbol
_atom_site_fract_x
_atom_site_fract_y
_atom_site_fract_z
Tm1 Tm 0.000 0.421 0.866
Tm2 Tm 0.000 0.921 0.634
Tm3 Tm 0.500 0.821 0.373
Tm4 Tm 0.500 0.679 0.873
Tm5 Tm 0.000 0.941 0.922
Tm6 Tm 0.500 0.321 0.127
Tm7 Tm 0.000 0.559 0.422
Tm8 Tm 0.000 0.059 0.078
Tm9 Tm 0.000 0.441 0.578
Tm10 Tm 0.000 0.079 0.366
Tm11 Tm 0.000 0.579 0.134
Tm12 Tm 0.500 0.179 0.627
Ho1 Ho 0.500 0.000 0.500
Ho2 Ho 0.500 0.200 0.949
Ho3 Ho 0.500 0.300 0.449
Ho4 Ho 0.500 0.800 0.051
Ho5 Ho 0.500 0.700 0.551
Ho6 Ho 0.500 0.907 0.778
Ho7 Ho 0.500 0.407 0.722
Ho8 Ho 0.500 0.093 0.222
Ho9 Ho 0.500 0.593 0.278
Ho10 Ho 0.500 0.500 0.000
Nd1 Nd 0.000 0.833 0.216
Nd2 Nd 0.000 0.667 0.716
Nd3 Nd 0.000 0.333 0.284
Nd4 Nd 0.000 0.167 0.784
```

=====

Record 7
## NaCaHgPd (PBE)

Data for a relaxed NaCaHgPd crystal.

Results
- D(E_F) (states/eV/cell) = 1.4
- ΔE_f (eV per atom) = -0.371
- crystal system = cubic

Structure (CIF):
```
data_NaCaHgPd
_chemical_formula_sum 'Na1 Ca1 Hg1 Pd1'
_cell_length_a 5.088
_cell_length_b 5.088
_cell_length_c 5.088
_cell_angle_alpha 60.00
_cell_angle_beta 60.00
_cell_angle_gamma 60.00
_space_group_name_H-M_alt 'P 1'
_space_group_IT_number 1
loop_
_space_group_symop_operation_xyz
'x,y,z'
loop_
_atom_site_label
_atom_site_type_symbol
_atom_site_fract_x
_atom_site_fract_y
_atom_site_fract_z
Na1 Na 0.000 0.000 0.000
Ca1 Ca 0.500 0.500 0.500
Hg1 Hg 0.750 0.750 0.750
Pd1 Pd 0.250 0.250 0.250
```

=====

Record 8
## Pr3InGe4 (PBE)

Data for a relaxed Pr3InGe4 crystal.

Results
- D(E_F) (states/eV/cell) = 2.9
- ΔE_f (eV per atom) = -0.581
- crystal system = orthorhombic

Structure (CIF):
```
data_Pr3InGe4
_chemical_formula_sum 'Pr3 In1 Ge4'
_cell_length_a 4.447
_cell_length_b 6.210
_cell_length_c 8.697
_cell_angle_alpha 110.94
_cell_angle_beta 104.81
_cell_angle_gamma 90.00
_space_group_name_H-M_alt 'P 1'
_space_group_IT_number 1
loop_
_space_group_symop_operation_xyz
'x,y,z'
loop_
_atom_site_label
_atom_site_type_symbol
_atom_site_fract_x
_atom_site_fract_y
_atom_site_fract_z
Ge1 Ge 0.630 0.434 0.260
Ge2 Ge 0.630 0.827 0.260
Ge3 Ge 0.370 0.173 0.740
Ge4 Ge 0.370 0.566 0.740
Pr1 Pr 0.000 0.500 0.000
Pr2 Pr 0.814 0.813 0.627
Pr3 Pr 0.186 0.187 0.373
In1 In 0.500 0.000 0.000
```

=====

Record 9
## CsRb (PBE)

Data for a relaxed CsRb crystal.

Results
- D(E_F) (states/eV/cell) = 19.2
- ΔE_f (eV per atom) = 0.008
- crystal system = orthorhombic
- distance to the lowest polymorph of the same formula (meV per atom) = 9

Structure (CIF):
```
data_CsRb
_chemical_formula_sum 'Cs8 Rb8'
_cell_length_a 10.616
_cell_length_b 14.388
_cell_length_c 10.616
_cell_angle_alpha 90.00
_cell_angle_beta 90.00
_cell_angle_gamma 90.00
_space_group_name_H-M_alt 'P 1'
_space_group_IT_number 1
loop_
_space_group_symop_operation_xyz
'x,y,z'
loop_
_atom_site_label
_atom_site_type_symbol
_atom_site_fract_x
_atom_site_fract_y
_atom_site_fract_z
Cs1 Cs 0.500 0.750 0.001
Cs2 Cs 0.751 0.500 0.250
Cs3 Cs 0.500 0.250 0.499
Cs4 Cs 0.249 0.000 0.250
Cs5 Cs 0.251 0.000 0.750
Cs6 Cs 0.000 0.750 0.999
Cs7 Cs 0.000 0.250 0.501
Cs8 Cs 0.749 0.500 0.750
Rb1 Rb 0.251 0.500 0.251
Rb2 Rb 0.999 0.750 0.499
Rb3 Rb 0.501 0.250 0.999
Rb4 Rb 0.001 0.250 0.001
Rb5 Rb 0.751 0.000 0.749
Rb6 Rb 0.249 0.500 0.751
Rb7 Rb 0.499 0.750 0.501
Rb8 Rb 0.749 0.000 0.249
```